An optimized crystal structure of Ba2NdSnO6. Source: the Alexandria database, functional PBE-GGA.

a b c (Å): 6.2177 6.2175 6.2155
angles (deg): 60.02 60.03 90.00
Closest atoms and distances in Å follow each position.
Fractional positions:
Ba 0.7499 0.2500 0.5000  12 O 3.11
Ba 0.2501 0.7500 0.5000  12 O 3.11
O 0.7365 0.7365 0.5271  1 Sn 2.08, 1 Nd 2.32
O 0.2635 0.7365 0.0000  1 Sn 2.08, 1 Nd 2.32
O 0.2635 0.2635 0.4729  1 Sn 2.08, 1 Nd 2.32
O 0.7365 0.2635 0.0000  1 Sn 2.08, 1 Nd 2.32
O 0.7365 0.7365 0.0000  1 Sn 2.08, 1 Nd 2.32
O 0.2635 0.2635 0.0000  1 Sn 2.08, 1 Nd 2.32
Sn 0.5000 0.5000 0.0000  6 O 2.08
Nd 0.0000 0.0000 0.0000  6 O 2.32

Calculated values
**Total DFT energy (no corrections)**: -6.63 eV/atom
**Symmetry**: Fm-3m, No. 225
**M_tot**: 1.01 μB per cell

***

An optimized crystal structure of Ba2NdSnO5. Source: the Alexandria database, functional PBE-GGA.

a b c (Å): 3.7482 7.9089 11.6294
angles (deg): 90.00 90.00 103.71
Closest atoms and distances in Å follow each position.
Fractional positions:
O 0.2813 0.5626 0.6368  2 Nd 2.45, 1 Ba 2.64
O 0.7074 0.4148 0.8705  2 Nd 2.43, 1 Ba 2.68
O 0.5015 0.0031 0.3015  1 Sn 2.06
O 0.4985 0.9969 0.8015  1 Sn 2.06
O 0.3740 0.7480 0.0084  1 Sn 2.11, 1 Nd 2.34
O 0.7187 0.4374 0.1368  2 Nd 2.45, 1 Ba 2.64
O 0.6260 0.2520 0.5084  1 Sn 2.11, 1 Nd 2.34
O 0.2926 0.5852 0.3705  2 Nd 2.43, 1 Ba 2.68
O 0.0566 0.1131 0.0367  2 Sn 2.12
O 0.9434 0.8869 0.5367  2 Sn 2.12
Sn 0.5095 0.0191 0.9783  4 O 2.06-2.12
Sn 0.4905 0.9809 0.4783  4 O 2.06-2.12
Nd 0.2217 0.4435 0.0018  6 O 2.34-2.57
Nd 0.7783 0.5565 0.5018  6 O 2.34-2.57
Ba 0.1327 0.2655 0.2778  5 O 2.68-2.82
Ba 0.8810 0.7620 0.2122  5 O 2.64-2.96
Ba 0.8673 0.7345 0.7778  5 O 2.68-2.82
Ba 0.1190 0.2380 0.7122  5 O 2.64-2.96

Calculated values
**Total DFT energy (no corrections)**: -6.57 eV/atom
**Symmetry**: Cmc2_1, No. 36
**M_tot**: 0.00 μB per cell

***

An optimized crystal structure of BaSrNd4O8. Source: the Alexandria database, functional PBE-GGA.

a b c (Å): 3.6097 10.5604 12.5167
angles (deg): 90.00 90.00 90.00
Closest atoms and distances in Å follow each position.
Fractional positions:
Nd 0.5000 0.0854 0.6448  6 O 2.40-2.45
Nd 0.5000 0.0738 0.1358  6 O 2.31-2.50
Nd 0.0000 0.4198 0.1332  6 O 2.33-2.48
Nd 0.0000 0.9262 0.3636  6 O 2.34-2.52
Nd 0.5000 0.5854 0.3552  6 O 2.40-2.45
Nd 0.0000 0.9198 0.8668  6 O 2.33-2.48
Nd 0.0000 0.4262 0.6364  6 O 2.34-2.52
Nd 0.5000 0.5738 0.8642  6 O 2.31-2.50
O 0.5000 0.5772 0.1634  3 Nd 2.40-2.48
O 0.5000 0.3686 0.7679  3 Nd 2.48-2.52, 2 Sr 2.66
O 0.0000 0.4963 0.9584  3 Nd 2.31-2.33
O 0.0000 0.7135 0.4224  3 Nd 2.36-2.41
O 0.5000 0.4865 0.5295  3 Nd 2.34-2.42
O 0.0000 0.1241 0.2670  3 Nd 2.41-2.50
O 0.0000 0.6241 0.7330  3 Nd 2.41-2.50
O 0.0000 0.9963 0.0416  3 Nd 2.31-2.33
O 0.5000 0.0772 0.8366  3 Nd 2.40-2.48
O 0.5000 0.2850 0.0705  3 Nd 2.38-2.43
O 0.5000 0.8686 0.2321  3 Nd 2.48-2.52, 2 Sr 2.66
O 0.0000 0.4341 0.3216  3 Nd 2.36-2.45
O 0.5000 0.9865 0.4705  3 Nd 2.34-2.42
O 0.0000 0.9341 0.6784  3 Nd 2.36-2.45
O 0.0000 0.2135 0.5776  3 Nd 2.36-2.41
O 0.5000 0.7850 0.9295  3 Nd 2.38-2.43
Ba 0.5000 0.2517 0.3977  8 O 2.78-2.98
Ba 0.5000 0.7517 0.6023  8 O 2.78-2.98
Sr 0.0000 0.7577 0.1069  7 O 2.65-2.88
Sr 0.0000 0.2577 0.8931  7 O 2.65-2.88

Calculated values
**Total DFT energy (no corrections)**: -7.58 eV/atom
**Symmetry**: Pmc2_1, No. 26
**M_tot**: 0.00 μB per cell